(1)
The following is a GGA-PBE calculation of crystalline YInTe2 at its relaxed geometry, from Alexandria.

Cell and atoms, written as POSCAR:
```
YInTe2
1.0
8.563 0.000 0.000
0.000 4.153 0.000
0.000 0.000 14.426
Y In Te
4 4 8
Cartesian
0.665 1.038 2.258 Y
3.617 3.115 9.471 Y
4.946 1.038 4.955 Y
7.898 3.115 12.168 Y
0.747 3.115 6.187 In
3.534 1.038 13.400 In
5.029 3.115 1.025 In
7.815 1.038 8.238 In
1.421 3.115 0.091 Te
1.504 1.038 10.914 Te
2.777 3.115 3.701 Te
2.860 1.038 7.304 Te
5.702 3.115 7.122 Te
5.786 1.038 10.724 Te
7.059 3.115 3.512 Te
7.142 1.038 14.335 Te
```

Output
SG = Pnma
Total moment = 0.0 Bohr magnetons per cell
E_form (uncorrected) = -0.850 eV/atom


(2)
The following is a GGA-PBE calculation of crystalline YInTe2 at its relaxed geometry, from Alexandria.

Cell and atoms, written as POSCAR:
```
YInTe2
1.0
2.196 1.268 8.300
-2.196 1.268 8.300
0.000 -2.536 8.300
Y In Te
1 1 2
Cartesian
0.000 0.000 0.000 Y
0.000 0.000 20.711 In
0.000 0.000 10.084 Te
0.000 0.000 14.803 Te
```

Output
SG = R3m
Total moment = 0.0 Bohr magnetons per cell
E_form (uncorrected) = -0.967 eV/atom


(3)
The following is a GGA-PBE calculation of crystalline YInTe2 at its relaxed geometry, from Alexandria.

Cell and atoms, written as POSCAR:
```
YInTe2
1.0
3.872 0.000 0.000
0.000 3.872 0.000
0.000 0.000 8.031
Y In Te
1 1 2
Cartesian
0.000 0.000 0.000 Y
0.000 0.000 4.015 In
1.936 1.936 1.764 Te
1.936 1.936 6.267 Te
```

Output
SG = P4/mmm
Total moment = 0.0 Bohr magnetons per cell
E_form (uncorrected) = -0.804 eV/atom


(4)
The following is a GGA-PBE calculation of crystalline Y3InTe6 at its relaxed geometry, from Alexandria.

Cell and atoms, written as POSCAR:
```
Y3InTe6
1.0
6.071 -7.531 0.000
6.071 7.531 0.000
0.000 0.000 7.382
Y In Te
6 2 12
Cartesian
6.071 6.144 3.691 Y
3.852 1.453 4.484 Y
3.852 -1.453 0.792 Y
8.289 1.453 4.484 Y
8.289 -1.453 0.792 Y
6.071 -6.144 0.000 Y
6.071 3.098 0.993 In
6.071 -3.098 4.684 In
3.936 4.124 2.540 Te
1.993 0.571 2.216 Te
1.993 -0.571 5.907 Te
6.071 3.361 5.579 Te
8.206 4.124 2.540 Te
6.071 0.502 2.229 Te
6.071 -0.502 5.920 Te
3.936 -4.124 6.231 Te
6.071 -3.361 1.888 Te
10.148 0.571 2.216 Te
10.148 -0.571 5.907 Te
8.206 -4.124 6.231 Te
```

Output
SG = Cmc2_1
Total moment = 0.0 Bohr magnetons per cell
E_form (uncorrected) = -1.105 eV/atom


(5)
The following is a GGA-PBE calculation of crystalline YInTe at its relaxed geometry, from Alexandria.

Cell and atoms, written as POSCAR:
```
YInTe
1.0
-1.959 1.959 5.541
1.959 -1.959 5.541
1.959 1.959 -5.541
Y In Te
1 1 1
Cartesian
0.000 0.000 0.000 Y
0.000 0.000 7.413 In
0.000 0.000 4.050 Te
```

Output
SG = I4mm
Total moment = 0.0 Bohr magnetons per cell
E_form (uncorrected) = -0.672 eV/atom


(6)
The following is a GGA-PBE calculation of crystalline Y4InTe at its relaxed geometry, from Alexandria.

Cell and atoms, written as POSCAR:
```
Y4InTe
1.0
7.399 0.000 0.000
0.000 4.684 0.000
0.000 0.000 20.938
Y In Te
16 4 4
Cartesian
0.363 1.171 1.613 Y
0.535 1.171 7.504 Y
0.622 1.171 16.405 Y
1.052 1.171 11.058 Y
2.647 3.513 0.589 Y
3.078 3.513 5.936 Y
3.164 3.513 17.973 Y
3.336 3.513 12.082 Y
4.063 1.171 8.856 Y
4.235 1.171 2.965 Y
4.321 1.171 15.002 Y
4.752 1.171 20.348 Y
6.347 3.513 9.880 Y
6.777 3.513 4.533 Y
6.864 3.513 13.434 Y
7.036 3.513 19.325 Y
1.609 1.171 19.452 In
2.090 3.513 8.983 In
5.309 1.171 11.955 In
5.790 3.513 1.486 In
1.524 1.171 4.510 Te
2.176 3.513 14.979 Te
5.223 1.171 5.959 Te
5.875 3.513 16.428 Te
```

Output
SG = Pnma
Offset from the most stable computed form = 0 meV/atom
Total moment = 0.0 Bohr magnetons per cell
E_form (uncorrected) = -0.589 eV/atom


(7)
The following is a GGA-PBE calculation of crystalline YInTe2 at its relaxed geometry, from Alexandria.

Cell and atoms, written as POSCAR:
```
YInTe2
1.0
0.000 3.876 3.876
3.876 0.000 3.876
3.876 3.876 0.000
Y In Te
1 1 2
Cartesian
0.000 0.000 0.000 Y
1.938 1.938 1.938 In
3.876 3.876 3.876 Te
5.814 5.814 5.814 Te
```

Output
SG = F-43m
Total moment = 0.0 Bohr magnetons per cell
E_form (uncorrected) = -0.298 eV/atom


(8)
The following is a GGA-PBE calculation of crystalline YInTe2 at its relaxed geometry, from Alexandria.

Cell and atoms, written as POSCAR:
```
YInTe2
1.0
-1.982 2.116 8.459
1.982 -2.116 8.459
1.982 2.116 -8.459
Y In Te
1 1 2
Cartesian
0.000 0.000 0.000 Y
1.982 0.000 4.511 In
0.000 0.000 9.677 Te
0.000 2.116 6.131 Te
```

Output
SG = Imm2
Total moment = 0.0 Bohr magnetons per cell
E_form (uncorrected) = -0.867 eV/atom


(9)
The following is a GGA-PBE calculation of crystalline Y4InTe2 at its relaxed geometry, from Alexandria.

Cell and atoms, written as POSCAR:
```
Y4InTe2
1.0
0.000 6.800 6.821
4.701 0.000 6.821
4.701 6.800 0.000
Y In Te
8 2 4
Cartesian
2.995 2.994 2.994 Y
6.406 6.394 6.404 Y
4.056 7.207 2.994 Y
4.056 2.994 7.238 Y
5.346 10.607 6.404 Y
5.346 6.394 10.648 Y
2.995 7.207 7.238 Y
6.406 10.607 10.648 Y
3.526 5.100 5.116 In
5.876 8.500 8.526 In
0.000 0.000 0.000 Te
2.350 3.400 0.000 Te
2.350 0.000 3.410 Te
0.000 3.400 3.410 Te
```

Output
SG = Fddd
Offset from the most stable computed form = 22 meV/atom
Total moment = 0.0 Bohr magnetons per cell
E_form (uncorrected) = -0.830 eV/atom


(10)
The following is a GGA-PBE calculation of crystalline Y2InTe4 at its relaxed geometry, from Alexandria.

Cell and atoms, written as POSCAR:
```
Y2InTe4
1.0
8.146 -2.175 0.000
8.146 2.175 0.000
-3.359 0.000 6.975
Y In Te
2 1 4
Cartesian
3.160 0.000 1.539 Y
9.772 0.000 5.435 Y
6.466 0.000 3.487 In
0.639 0.000 3.367 Te
6.008 0.000 0.322 Te
6.924 0.000 6.653 Te
12.293 0.000 3.608 Te
```

Output
SG = C2/m
Offset from the most stable computed form = 22 meV/atom
Total moment = 0.0 Bohr magnetons per cell
E_form (uncorrected) = -1.045 eV/atom


(11)
The following is a GGA-PBE calculation of crystalline YInTe2 at its relaxed geometry, from Alexandria.

Cell and atoms, written as POSCAR:
```
YInTe2
1.0
-3.207 3.207 6.479
3.207 -3.207 6.479
3.207 3.207 -6.479
Y In Te
2 2 4
Cartesian
3.207 1.603 1.620 Y
0.000 1.603 4.859 Y
3.207 -1.603 4.859 In
0.000 4.810 1.620 In
3.207 1.603 -1.451 Te
0.000 1.603 1.788 Te
3.207 1.603 4.690 Te
0.000 1.603 7.930 Te
```

Output
SG = I4_1/amd
Total moment = 0.0 Bohr magnetons per cell
E_form (uncorrected) = -0.901 eV/atom


(12)
The following is a GGA-PBE calculation of crystalline Y2InTe4 at its relaxed geometry, from Alexandria.

Cell and atoms, written as POSCAR:
```
Y2InTe4
1.0
0.000 6.400 6.400
6.400 0.000 6.400
6.400 6.400 0.000
Y In Te
4 2 8
Cartesian
0.000 0.000 0.000 Y
3.200 3.200 0.000 Y
3.200 0.000 3.200 Y
0.000 3.200 3.200 Y
4.800 4.800 4.800 In
8.000 8.000 8.000 In
9.710 6.290 6.290 Te
3.090 3.090 3.090 Te
6.510 6.510 3.090 Te
6.510 3.090 6.510 Te
6.290 9.710 6.290 Te
6.290 6.290 9.710 Te
9.710 9.710 9.710 Te
3.090 6.510 6.510 Te
```

Output
SG = Fd-3m
Offset from the most stable computed form = 0 meV/atom
Total moment = 0.0 Bohr magnetons per cell
E_form (uncorrected) = -1.067 eV/atom


(13)
The following is a GGA-PBE calculation of crystalline YInTe at its relaxed geometry, from Alexandria.

Cell and atoms, written as POSCAR:
```
YInTe
1.0
0.000 3.664 3.664
3.664 0.000 3.664
3.664 3.664 0.000
Y In Te
1 1 1
Cartesian
0.000 0.000 0.000 Y
3.664 3.664 3.664 In
5.496 5.496 5.496 Te
```

Output
SG = F-43m
Total moment = 0.0 Bohr magnetons per cell
E_form (uncorrected) = -0.359 eV/atom


(14)
The following is a GGA-PBE calculation of crystalline YIn2Te3 at its relaxed geometry, from Alexandria.

Cell and atoms, written as POSCAR:
```
YIn2Te3
1.0
9.387 0.000 0.000
0.000 4.385 0.000
-3.940 0.000 10.381
Y In Te
2 4 6
Cartesian
1.016 1.096 1.627 Y
4.432 3.289 8.755 Y
3.012 3.289 0.179 In
0.816 1.096 6.074 In
4.632 3.289 4.308 In
2.436 1.096 10.203 In
-2.708 1.096 8.880 Te
1.591 3.289 3.793 Te
1.076 3.289 8.444 Te
4.372 1.096 1.938 Te
3.857 1.096 6.588 Te
8.156 3.289 1.502 Te
```

Output
SG = P2_1/m
Total moment = 0.0 Bohr magnetons per cell
E_form (uncorrected) = -0.632 eV/atom


(15)
The following is a GGA-PBE calculation of crystalline YInTe2 at its relaxed geometry, from Alexandria.

Cell and atoms, written as POSCAR:
```
YInTe2
1.0
4.414 0.000 0.000
-2.207 3.822 0.000
0.000 0.000 8.305
Y In Te
1 1 2
Cartesian
0.000 0.000 0.000 Y
0.000 0.000 4.152 In
0.000 2.548 1.781 Te
2.207 1.274 6.524 Te
```

Output
SG = P-3m1
Total moment = 0.0 Bohr magnetons per cell
E_form (uncorrected) = -0.957 eV/atom


(16)
The following is a GGA-PBE calculation of crystalline YInTe2 at its relaxed geometry, from Alexandria.

Cell and atoms, written as POSCAR:
```
YInTe2
1.0
3.946 -5.317 0.000
3.946 5.317 0.000
0.000 0.000 5.552
Y In Te
2 2 4
Cartesian
3.946 3.750 4.164 Y
3.946 -3.750 1.388 Y
3.946 1.131 1.388 In
3.946 -1.131 4.164 In
1.771 1.327 4.164 Te
1.771 -1.327 1.388 Te
6.122 1.327 4.164 Te
6.122 -1.327 1.388 Te
```

Output
SG = Cmcm
Total moment = 0.0 Bohr magnetons per cell
E_form (uncorrected) = -0.749 eV/atom


(17)
The following is a GGA-PBE calculation of crystalline YInTe2 at its relaxed geometry, from Alexandria.

Cell and atoms, written as POSCAR:
```
YInTe2
1.0
4.486 0.000 0.000
0.000 4.486 0.000
0.000 0.000 6.328
Y In Te
1 1 2
Cartesian
0.000 0.000 0.000 Y
2.243 2.243 3.164 In
0.000 0.000 3.164 Te
2.243 2.243 0.000 Te
```

Output
SG = P4/mmm
Total moment = 0.0 Bohr magnetons per cell
E_form (uncorrected) = -0.845 eV/atom


(18)
The following is a GGA-PBE calculation of crystalline Y4InTe3 at its relaxed geometry, from Alexandria.

Cell and atoms, written as POSCAR:
```
Y4InTe3
1.0
4.426 -6.206 0.000
4.426 6.206 0.000
0.000 0.000 4.342
Y In Te
4 1 3
Cartesian
2.138 0.000 2.171 Y
4.426 3.192 0.000 Y
4.426 -3.192 0.000 Y
6.715 0.000 2.171 Y
0.000 0.000 0.000 In
2.213 3.103 2.171 Te
2.213 -3.103 2.171 Te
4.426 0.000 0.000 Te
```

Output
SG = Cmmm
Total moment = 0.0 Bohr magnetons per cell
E_form (uncorrected) = -1.121 eV/atom


(19)
The following is a GGA-PBE calculation of crystalline YInTe2 at its relaxed geometry, from Alexandria.

Cell and atoms, written as POSCAR:
```
YInTe2
1.0
6.311 0.000 0.000
0.000 5.826 0.000
-0.928 0.000 6.258
Y In Te
2 2 4
Cartesian
0.889 1.456 1.034 Y
4.495 4.369 5.224 Y
2.389 4.369 2.770 In
2.995 1.456 3.488 In
-0.438 1.456 4.132 Te
1.239 4.369 6.095 Te
4.144 1.456 0.163 Te
5.821 4.369 2.125 Te
```

Output
SG = P2_1/m
Total moment = 0.0 Bohr magnetons per cell
E_form (uncorrected) = -0.773 eV/atom


(20)
The following is a GGA-PBE calculation of crystalline Y3In5Te12 at its relaxed geometry, from Alexandria.

Cell and atoms, written as POSCAR:
```
Y3In5Te12
1.0
-8.893 8.893 8.893
8.893 -8.893 8.893
8.893 8.893 -8.893
Y In Te
12 20 48
Cartesian
4.447 2.223 0.000 Y
8.893 4.447 -2.223 Y
2.223 0.000 4.447 Y
11.117 0.000 4.447 Y
0.000 4.447 2.223 Y
4.447 -2.223 8.893 Y
4.447 11.117 0.000 Y
8.893 4.447 6.670 Y
-2.223 8.893 4.447 Y
6.670 8.893 4.447 Y
0.000 4.447 11.117 Y
4.447 6.670 8.893 Y
0.000 0.000 0.000 In
4.447 4.447 -4.447 In
4.447 -4.447 4.447 In
8.893 0.000 0.000 In
13.340 2.223 0.000 In
8.893 -4.447 6.670 In
6.670 8.893 -4.447 In
6.670 0.000 4.447 In
4.447 6.670 0.000 In
8.893 4.447 2.223 In
-4.447 4.447 4.447 In
0.000 8.893 0.000 In
0.000 0.000 8.893 In
4.447 4.447 4.447 In
0.000 4.447 6.670 In
4.447 2.223 8.893 In
2.223 8.893 4.447 In
2.223 0.000 13.340 In
0.000 13.340 2.223 In
-4.447 6.670 8.893 In
2.714 -0.358 1.182 Te
10.626 5.629 -4.804 Te
8.536 -1.182 2.714 Te
13.698 -1.733 3.264 Te
11.607 0.358 1.182 Te
10.626 -3.264 4.804 Te
1.182 2.714 -0.358 Te
12.158 4.089 -1.733 Te
5.629 4.804 -1.733 Te
7.711 2.714 0.358 Te
-0.358 1.182 2.714 Te
4.804 -1.733 5.629 Te
8.536 7.711 -2.714 Te
4.804 1.733 3.264 Te
7.711 -2.714 8.536 Te
5.629 -4.804 10.626 Te
3.264 4.804 1.733 Te
10.076 6.180 0.358 Te
2.714 8.536 -1.182 Te
10.626 3.264 4.089 Te
4.804 10.626 -3.264 Te
8.536 1.182 6.180 Te
1.733 3.264 4.804 Te
2.714 0.358 7.711 Te
6.180 8.536 1.182 Te
7.161 5.629 4.089 Te
0.358 7.711 2.714 Te
4.089 -1.733 12.158 Te
-1.733 5.629 4.804 Te
6.180 0.358 10.076 Te
-1.182 2.714 8.536 Te
5.629 4.089 7.161 Te
3.264 13.698 -1.733 Te
1.182 11.607 0.358 Te
4.089 7.161 5.629 Te
0.358 1.182 11.607 Te
4.089 10.626 3.264 Te
9.251 7.711 6.180 Te
1.182 6.180 8.536 Te
3.264 4.089 10.626 Te
-3.264 4.804 10.626 Te
7.711 6.180 9.251 Te
-1.733 12.158 4.089 Te
-2.714 8.536 7.711 Te
-4.804 10.626 5.629 Te
0.358 10.076 6.180 Te
-1.733 3.264 13.698 Te
6.180 9.251 7.711 Te
```

Output
SG = Ia-3d
Total moment = 0.0 Bohr magnetons per cell
E_form (uncorrected) = -0.624 eV/atom